Entry 1:
Computed, not measured: a relaxed Dy2Y3Er6Tm crystal at the GGA-PBE level of DFT.

Summary:
Energy of formation, eV per atom: 0.02
Total moment, μB per atom: 0.00
DFT total energy, eV for the cell shown: -60.16

Lattice parameters (Å, degrees): 6.105 6.105 11.695 94.98 94.98 119.94
Positions (direct):
Dy  0.167  0.833  0.000
Dy  0.833  0.167  0.000
Y  0.000  0.000  0.500
Y  0.333  0.667  0.500
Y  0.667  0.333  0.500
Er  0.084  0.417  0.752
Er  0.250  0.250  0.248
Er  0.417  0.084  0.752
Er  0.583  0.916  0.248
Er  0.750  0.750  0.752
Er  0.916  0.583  0.248
Tm  0.500  0.500  0.000

Entry 2:
Computed, not measured: a relaxed Dy6Y2Er3Tm crystal at the GGA-PBE level of DFT.

Summary:
Energy of formation, eV per atom: 0.02
Total moment, μB per atom: 0.00
DFT total energy, eV for the cell shown: -58.45

Lattice parameters (Å, degrees): 6.118 6.118 11.703 94.98 94.98 119.94
Positions (direct):
Dy  0.084  0.416  0.751
Dy  0.248  0.248  0.249
Dy  0.416  0.084  0.751
Dy  0.584  0.916  0.249
Dy  0.752  0.752  0.751
Dy  0.916  0.584  0.249
Y  0.333  0.667  0.500
Y  0.667  0.333  0.500
Er  0.167  0.833  0.000
Er  0.500  0.500  0.000
Er  0.833  0.167  0.000
Tm  0.000  0.000  0.500

Entry 3:
Computed, not measured: a relaxed DyY2Er2Tm2 crystal at the GGA-PBE level of DFT.

Summary:
Energy of formation, eV per atom: 0.09
Total moment, μB per atom: 0.00
DFT total energy, eV for the cell shown: -34.97

Lattice parameters (Å, degrees): 6.033 6.033 11.699 109.14 109.14 33.59
Positions (direct):
Dy  0.000  0.000  0.000
Y  0.331  0.331  0.418
Y  0.669  0.669  0.582
Er  0.224  0.224  0.860
Er  0.776  0.776  0.140
Tm  0.447  0.447  0.731
Tm  0.553  0.553  0.269

Entry 4:
Computed, not measured: a relaxed Dy2Y2Er4Tm crystal at the GGA-PBE level of DFT.

Summary:
Energy of formation, eV per atom: 0.00
Total moment, μB per atom: 0.00
DFT total energy, eV for the cell shown: -44.85

Lattice parameters (Å, degrees): 9.415 9.415 9.449 115.29 115.29 21.78
Positions (direct):
Dy  0.166  0.166  0.001
Dy  0.834  0.834  0.999
Y  0.353  0.353  0.335
Y  0.647  0.647  0.665
Er  0.019  0.019  0.332
Er  0.315  0.315  0.665
Er  0.685  0.685  0.335
Er  0.981  0.981  0.668
Tm  0.500  0.500  0.000

Entry 5:
Computed, not measured: a relaxed DyY2ErTm crystal at the GGA-PBE level of DFT.

Summary:
Energy of formation, eV per atom: 0.41
Total moment, μB per atom: 0.00
DFT total energy, eV for the cell shown: -49.02

Lattice parameters (Å, degrees): 7.032 7.032 7.207 90.00 90.00 107.40
Positions (direct):
Dy  0.227  0.773  0.750
Dy  0.773  0.227  0.250
Y  0.192  0.192  0.000
Y  0.192  0.192  0.500
Y  0.808  0.808  0.000
Y  0.808  0.808  0.500
Er  0.225  0.775  0.250
Er  0.775  0.225  0.750
Tm  0.500  0.500  0.250
Tm  0.500  0.500  0.750

Entry 6:
Computed, not measured: a relaxed Dy3Y2Er6Tm crystal at the GGA-PBE level of DFT.

Summary:
Energy of formation, eV per atom: 0.02
Total moment, μB per atom: 0.00
DFT total energy, eV for the cell shown: -58.31

Lattice parameters (Å, degrees): 6.102 6.102 11.681 94.98 94.98 119.93
Positions (direct):
Dy  0.000  0.000  0.000
Dy  0.333  0.667  0.000
Dy  0.667  0.333  0.000
Y  0.167  0.833  0.500
Y  0.833  0.167  0.500
Er  0.084  0.416  0.250
Er  0.252  0.252  0.750
Er  0.416  0.084  0.250
Er  0.584  0.916  0.750
Er  0.748  0.748  0.250
Er  0.916  0.584  0.750
Tm  0.500  0.500  0.500

Entry 7:
Computed, not measured: a relaxed DyY6Er2Tm3 crystal at the GGA-PBE level of DFT.

Summary:
Energy of formation, eV per atom: 0.03
Total moment, μB per atom: 0.00
DFT total energy, eV for the cell shown: -65.60

Lattice parameters (Å, degrees): 6.124 6.124 11.731 94.99 94.99 119.94
Positions (direct):
Dy  0.000  0.000  0.000
Y  0.084  0.417  0.251
Y  0.250  0.250  0.749
Y  0.417  0.084  0.251
Y  0.583  0.916  0.749
Y  0.750  0.750  0.251
Y  0.916  0.583  0.749
Er  0.333  0.667  0.000
Er  0.667  0.333  0.000
Tm  0.167  0.833  0.500
Tm  0.500  0.500  0.500
Tm  0.833  0.167  0.500

Entry 8:
Computed, not measured: a relaxed Dy2YEr5Tm crystal at the GGA-PBE level of DFT.

Summary:
Energy of formation, eV per atom: 0.30
Total moment, μB per atom: 0.00
DFT total energy, eV for the cell shown: -80.47

Lattice parameters (Å, degrees): 9.594 9.594 9.594 125.06 125.06 81.43
Positions (direct):
Dy  0.113  0.613  0.726
Dy  0.387  0.113  0.500
Dy  0.613  0.887  0.500
Dy  0.887  0.387  0.274
Y  0.250  0.250  0.000
Y  0.750  0.750  0.000
Er  0.000  0.000  0.000
Er  0.073  0.162  0.500
Er  0.162  0.662  0.089
Er  0.338  0.427  0.500
Er  0.427  0.927  0.089
Er  0.500  0.500  0.000
Er  0.573  0.073  0.911
Er  0.662  0.573  0.500
Er  0.838  0.338  0.911
Er  0.927  0.838  0.500
Tm  0.250  0.750  0.500
Tm  0.750  0.250  0.500

Entry 9:
Computed, not measured: a relaxed Dy3YEr2Tm6 crystal at the GGA-PBE level of DFT.

Summary:
Energy of formation, eV per atom: 0.02
Total moment, μB per atom: 0.00
DFT total energy, eV for the cell shown: -55.93

Lattice parameters (Å, degrees): 6.079 6.079 11.628 94.99 94.99 119.93
Positions (direct):
Dy  0.000  0.000  0.000
Dy  0.333  0.667  0.000
Dy  0.667  0.333  0.000
Y  0.500  0.500  0.500
Er  0.167  0.833  0.500
Er  0.833  0.167  0.500
Tm  0.082  0.417  0.250
Tm  0.249  0.249  0.750
Tm  0.417  0.082  0.250
Tm  0.583  0.918  0.750
Tm  0.751  0.751  0.250
Tm  0.918  0.583  0.750

Entry 10:
Computed, not measured: a relaxed Dy2Y4ErTm2 crystal at the GGA-PBE level of DFT.

Summary:
Energy of formation, eV per atom: 0.01
Total moment, μB per atom: 0.00
DFT total energy, eV for the cell shown: -48.51

Lattice parameters (Å, degrees): 9.460 9.460 9.475 115.33 115.33 21.79
Positions (direct):
Dy  0.149  0.149  0.168
Dy  0.851  0.851  0.832
Y  0.185  0.185  0.832
Y  0.481  0.481  0.166
Y  0.519  0.519  0.834
Y  0.815  0.815  0.168
Er  0.000  0.000  0.500
Tm  0.333  0.333  0.501
Tm  0.667  0.667  0.499

Entry 11:
Computed, not measured: a relaxed DyYEr2Tm2 crystal at the GGA-PBE level of DFT.

Summary:
Energy of formation, eV per atom: 0.29
Total moment, μB per atom: 0.00
DFT total energy, eV for the cell shown: -54.85

Lattice parameters (Å, degrees): 6.495 17.503 3.360 90.00 90.00 90.00
Positions (direct):
Dy  0.000  0.000  0.000
Dy  0.500  0.500  0.500
Y  0.000  0.500  0.000
Y  0.500  0.000  0.500
Er  0.231  0.316  0.000
Er  0.269  0.816  0.500
Er  0.731  0.184  0.500
Er  0.769  0.684  0.000
Tm  0.229  0.148  0.500
Tm  0.271  0.648  0.000
Tm  0.729  0.352  0.000
Tm  0.771  0.852  0.500

Entry 12:
Computed, not measured: a relaxed Dy2YErTm crystal at the GGA-PBE level of DFT.

Summary:
Energy of formation, eV per atom: 0.40
Total moment, μB per atom: 0.00
DFT total energy, eV for the cell shown: -45.36

Lattice parameters (Å, degrees): 7.035 7.035 7.185 90.00 90.00 107.80
Positions (direct):
Dy  0.192  0.192  0.000
Dy  0.192  0.192  0.500
Dy  0.808  0.808  0.000
Dy  0.808  0.808  0.500
Y  0.232  0.768  0.750
Y  0.768  0.232  0.250
Er  0.217  0.783  0.250
Er  0.783  0.217  0.750
Tm  0.488  0.512  0.250
Tm  0.512  0.488  0.750

Entry 13:
Computed, not measured: a relaxed Dy2YErTm2 crystal at the GGA-PBE level of DFT.

Summary:
Energy of formation, eV per atom: 0.07
Total moment, μB per atom: 0.00
DFT total energy, eV for the cell shown: -57.47

Lattice parameters (Å, degrees): 6.979 9.583 5.559 90.00 90.00 90.00
Positions (direct):
Dy  0.250  0.167  0.000
Dy  0.250  0.667  0.500
Dy  0.750  0.333  0.500
Dy  0.750  0.833  0.000
Y  0.000  0.000  0.500
Y  0.500  0.500  0.000
Er  0.000  0.500  0.000
Er  0.500  0.000  0.500
Tm  0.249  0.334  0.500
Tm  0.251  0.834  0.000
Tm  0.749  0.166  0.000
Tm  0.751  0.666  0.500

Entry 14:
Computed, not measured: a relaxed Dy5YEr2Tm crystal at the GGA-PBE level of DFT.

Summary:
Energy of formation, eV per atom: 0.16
Total moment, μB per atom: 0.00
DFT total energy, eV for the cell shown: -83.22

Lattice parameters (Å, degrees): 10.283 10.283 10.501 90.00 90.00 148.60
Positions (direct):
Dy  0.018  0.982  0.500
Dy  0.280  0.720  0.788
Dy  0.300  0.700  0.187
Dy  0.388  0.612  0.501
Dy  0.480  0.520  0.217
Dy  0.520  0.480  0.717
Dy  0.612  0.388  0.001
Dy  0.700  0.300  0.687
Dy  0.720  0.280  0.288
Dy  0.982  0.018  0.000
Y  0.412  0.588  0.934
Y  0.588  0.412  0.434
Er  0.111  0.889  0.215
Er  0.113  0.887  0.793
Er  0.887  0.113  0.293
Er  0.889  0.111  0.715
Tm  0.199  0.801  0.490
Tm  0.801  0.199  0.990

Entry 15:
Computed, not measured: a relaxed Dy2Y2ErTm crystal at the GGA-PBE level of DFT.

Summary:
Energy of formation, eV per atom: 0.07
Total moment, μB per atom: 0.00
DFT total energy, eV for the cell shown: -61.49

Lattice parameters (Å, degrees): 6.994 5.590 9.618 90.00 90.00 90.00
Positions (direct):
Dy  0.250  0.000  0.157
Dy  0.250  0.500  0.679
Dy  0.750  0.000  0.843
Dy  0.750  0.500  0.321
Y  0.000  0.000  0.500
Y  0.250  0.500  0.342
Y  0.500  0.000  0.500
Y  0.750  0.500  0.658
Er  0.000  0.500  0.000
Er  0.500  0.500  0.000
Tm  0.250  0.000  0.826
Tm  0.750  0.000  0.174

Entry 16:
Computed, not measured: a relaxed Dy3Y2ErTm6 crystal at the GGA-PBE level of DFT.

Summary:
Energy of formation, eV per atom: 0.03
Total moment, μB per atom: 0.00
DFT total energy, eV for the cell shown: -57.82

Lattice parameters (Å, degrees): 6.089 6.089 11.650 94.99 94.99 119.94
Positions (direct):
Dy  0.000  0.000  0.000
Dy  0.333  0.667  0.000
Dy  0.667  0.333  0.000
Y  0.167  0.833  0.500
Y  0.833  0.167  0.500
Er  0.500  0.500  0.500
Tm  0.084  0.417  0.250
Tm  0.251  0.251  0.750
Tm  0.417  0.084  0.250
Tm  0.583  0.916  0.750
Tm  0.749  0.749  0.250
Tm  0.916  0.583  0.750

Entry 17:
Computed, not measured: a relaxed DyY2Er2Tm crystal at the GGA-PBE level of DFT.

Summary:
Energy of formation, eV per atom: 0.27
Total moment, μB per atom: 0.00
DFT total energy, eV for the cell shown: -58.98

Lattice parameters (Å, degrees): 6.489 17.655 3.366 90.00 90.00 90.00
Positions (direct):
Dy  0.000  0.000  0.000
Dy  0.500  0.500  0.500
Y  0.232  0.315  0.000
Y  0.268  0.815  0.500
Y  0.732  0.185  0.500
Y  0.768  0.685  0.000
Er  0.230  0.146  0.500
Er  0.270  0.646  0.000
Er  0.730  0.354  0.000
Er  0.770  0.854  0.500
Tm  0.000  0.500  0.000
Tm  0.500  0.000  0.500

Entry 18:
Computed, not measured: a relaxed DyYEr2Tm crystal at the GGA-PBE level of DFT.

Summary:
Energy of formation, eV per atom: 0.39
Total moment, μB per atom: 0.00
DFT total energy, eV for the cell shown: -45.38

Lattice parameters (Å, degrees): 7.023 7.023 7.158 90.00 90.00 107.81
Positions (direct):
Dy  0.218  0.782  0.750
Dy  0.782  0.218  0.250
Y  0.230  0.770  0.250
Y  0.770  0.230  0.750
Er  0.191  0.191  0.000
Er  0.191  0.191  0.500
Er  0.809  0.809  0.000
Er  0.809  0.809  0.500
Tm  0.490  0.510  0.750
Tm  0.510  0.490  0.250

Entry 19:
Computed, not measured: a relaxed DyY2Er6Tm crystal at the GGA-PBE level of DFT.

Summary:
Energy of formation, eV per atom: 0.13
Total moment, μB per atom: 0.00
DFT total energy, eV for the cell shown: -96.24

Lattice parameters (Å, degrees): 8.704 8.704 9.442 93.66 93.66 117.76
Positions (direct):
Dy  0.024  0.976  0.750
Dy  0.976  0.024  0.250
Y  0.198  0.302  0.545
Y  0.302  0.198  0.045
Y  0.698  0.802  0.955
Y  0.802  0.698  0.455
Er  0.018  0.570  0.686
Er  0.126  0.751  0.057
Er  0.249  0.874  0.443
Er  0.290  0.507  0.881
Er  0.430  0.982  0.814
Er  0.493  0.710  0.619
Er  0.507  0.290  0.381
Er  0.570  0.018  0.186
Er  0.710  0.493  0.119
Er  0.751  0.126  0.557
Er  0.874  0.249  0.943
Er  0.982  0.430  0.314
Tm  0.409  0.591  0.250
Tm  0.591  0.409  0.750

Entry 20:
Computed, not measured: a relaxed DyY2Er5Tm crystal at the GGA-PBE level of DFT.

Summary:
Energy of formation, eV per atom: 0.15
Total moment, μB per atom: 0.00
DFT total energy, eV for the cell shown: -86.87

Lattice parameters (Å, degrees): 10.199 10.199 10.540 90.00 90.00 148.37
Positions (direct):
Dy  0.201  0.799  0.500
Dy  0.799  0.201  0.000
Y  0.109  0.891  0.227
Y  0.113  0.887  0.809
Y  0.887  0.113  0.309
Y  0.891  0.109  0.727
Er  0.020  0.980  0.515
Er  0.283  0.717  0.795
Er  0.300  0.700  0.197
Er  0.392  0.608  0.512
Er  0.480  0.520  0.228
Er  0.520  0.480  0.728
Er  0.608  0.392  0.012
Er  0.700  0.300  0.697
Er  0.717  0.283  0.295
Er  0.980  0.020  0.015
Tm  0.413  0.587  0.949
Tm  0.587  0.413  0.449